(1)
# U3Tc2Ru

Crystalline U3Tc2Ru at its relaxed geometry (PBE-GGA, Alexandria via LeMat-Bulk).

Values from the calculation:
**Calculated volume**: 19.14 Å³/atom
**Uncorrected energy**: -0.7808 Ry/atom
**Energy of formation from the pure elements**: 0.0218 eV/atom
**Mass density**: 14.62 g/cm3

Cell lengths 3.055, 5.094, 14.755 Å; angles 90.00, 90.00, 90.00 degrees
Site moments in Bohr magnetons follow the coordinates.
Sites, in units of the cell vectors:
U: 0.671 0.500 0.000  0.98
U: 0.344 0.500 0.336  1.48
U: 0.329 0.000 0.500  0.98
U: 0.656 0.000 0.164  1.48
U: 0.656 0.000 0.836  1.48
U: 0.344 0.500 0.664  1.48
Tc: 0.968 0.500 0.840  -0.24
Tc: 0.032 0.000 0.340  -0.24
Tc: 0.968 0.500 0.160  -0.24
Tc: 0.032 0.000 0.660  -0.24
Ru: 0.769 0.500 0.500  -0.20
Ru: 0.231 0.000 0.000  -0.20

(2)
# YUTcRu

Crystalline YUTcRu at its relaxed geometry (PBE-GGA, Alexandria via LeMat-Bulk).

Values from the calculation:
**Calculated volume**: 19.61 Å³/atom
**Uncorrected energy**: -0.6921 Ry/atom
**Energy of formation from the pure elements**: -0.0684 eV/atom
**Mass density**: 11.14 g/cm3

Cell lengths 4.805, 4.805, 4.805 Å; angles 60.00, 60.00, 60.00 degrees
Site moments in Bohr magnetons follow the coordinates.
Sites, in units of the cell vectors:
Ru: 0.750 0.750 0.750  -0.12
Y: 0.500 0.500 0.500  0.03
Tc: 0.250 0.250 0.250  -0.19
U: 0.000 0.000 0.000  1.53

(3)
# V3TcRu

Crystalline V3TcRu at its relaxed geometry (PBE-GGA, Alexandria via LeMat-Bulk).

Values from the calculation:
**Calculated volume**: 14.33 Å³/atom
**Uncorrected energy**: -0.6841 Ry/atom
**Energy of formation from the pure elements**: 0.0918 eV/atom
**Mass density**: 8.16 g/cm3

Cell lengths 6.145, 7.041, 7.041 Å; angles 70.94, 85.47, 85.47 degrees
Sites, in units of the cell vectors:
V: 0.951 0.920 0.364
V: 0.451 0.364 0.920
V: 0.549 0.636 0.080
V: 0.576 0.999 0.692
V: 0.049 0.080 0.636
V: 0.424 0.001 0.308
V: 0.924 0.308 0.001
V: 0.391 0.322 0.522
V: 0.609 0.678 0.478
V: 0.076 0.692 0.999
V: 0.891 0.522 0.322
V: 0.109 0.478 0.678
Tc: 0.204 0.311 0.230
Tc: 0.296 0.770 0.689
Tc: 0.796 0.689 0.770
Tc: 0.704 0.230 0.311
Ru: 0.250 0.032 0.968
Ru: 0.750 0.968 0.032
Ru: 0.250 0.679 0.321
Ru: 0.750 0.321 0.679

(4)
# V3TcRu

Crystalline V3TcRu at its relaxed geometry (PBE-GGA, Alexandria via LeMat-Bulk).

Values from the calculation:
**Calculated volume**: 13.98 Å³/atom
**Uncorrected energy**: -0.6939 Ry/atom
**Energy of formation from the pure elements**: -0.0417 eV/atom
**Mass density**: 8.36 g/cm3

Cell lengths 4.850, 4.502, 6.578 Å; angles 90.00, 103.22, 90.00 degrees
Sites, in units of the cell vectors:
V: 0.781 0.750 0.744
V: 0.500 0.000 0.000
V: 0.219 0.250 0.256
V: 0.500 0.500 0.000
V: 0.447 0.250 0.632
V: 0.553 0.750 0.368
Ru: 0.997 0.750 0.149
Ru: 0.003 0.250 0.851
Tc: 0.826 0.250 0.426
Tc: 0.174 0.750 0.574

(5)
# VTcRu2

Crystalline VTcRu2 at its relaxed geometry (PBE-GGA, Alexandria via LeMat-Bulk).

Values from the calculation:
**Calculated volume**: 14.01 Å³/atom
**Uncorrected energy**: -0.7014 Ry/atom
**Energy of formation from the pure elements**: -0.0339 eV/atom
**Mass density**: 10.41 g/cm3

Cell lengths 2.735, 2.735, 7.489 Å; angles 90.00, 90.00, 90.00 degrees
Sites, in units of the cell vectors:
Ru: 0.000 0.000 0.756
Ru: 0.000 0.000 0.244
V: 0.500 0.500 0.000
Tc: 0.500 0.500 0.500

(6)
# V6TcRu5

Crystalline V6TcRu5 at its relaxed geometry (PBE-GGA, Alexandria via LeMat-Bulk).

Values from the calculation:
**Calculated volume**: 13.69 Å³/atom
**Uncorrected energy**: -0.7022 Ry/atom
**Energy of formation from the pure elements**: -0.2661 eV/atom
**Mass density**: 9.19 g/cm3

Cell lengths 4.265, 6.010, 6.753 Å; angles 90.00, 108.37, 90.00 degrees
Site moments in Bohr magnetons follow the coordinates.
Sites, in units of the cell vectors:
Tc: 0.000 0.000 0.000  -0.13
V: 0.837 0.752 0.674  0.38
V: 0.500 0.246 0.000  0.48
V: 0.500 0.754 0.000  0.48
V: 0.163 0.752 0.326  0.38
V: 0.837 0.248 0.674  0.38
V: 0.163 0.248 0.326  0.38
Ru: 0.331 0.500 0.661  -0.02
Ru: 0.669 0.500 0.339  -0.02
Ru: 0.330 0.000 0.660  -0.02
Ru: 0.000 0.500 0.000  -0.05
Ru: 0.670 0.000 0.340  -0.02

(7)
# VTcRu2

Crystalline VTcRu2 at its relaxed geometry (PBE-GGA, Alexandria via LeMat-Bulk).

Values from the calculation:
**Calculated volume**: 14.00 Å³/atom
**Uncorrected energy**: -0.7027 Ry/atom
**Energy of formation from the pure elements**: -0.0513 eV/atom
**Mass density**: 10.41 g/cm3

Cell lengths 3.810, 3.834, 3.834 Å; angles 90.00, 90.00, 90.00 degrees
Sites, in units of the cell vectors:
Tc: 0.500 0.000 0.000
V: 0.500 0.500 0.500
Ru: 0.000 0.000 0.500
Ru: 0.000 0.500 0.000

(8)
# VTcRu

Crystalline VTcRu at its relaxed geometry (PBE-GGA, Alexandria via LeMat-Bulk).

Values from the calculation:
**Calculated volume**: 14.35 Å³/atom
**Uncorrected energy**: -0.6989 Ry/atom
**Energy of formation from the pure elements**: 0.0784 eV/atom
**Mass density**: 9.64 g/cm3

Cell lengths 2.647, 4.333, 4.333 Å; angles 120.00, 90.00, 90.00 degrees
Sites, in units of the cell vectors:
Tc: 0.168 0.333 0.667
V: 0.665 0.667 0.333
Ru: 0.167 0.000 0.000